Entry 1:
Here is a relaxed Rb2LaReHg crystal from Alexandria. Energies are from PBE.

Computed properties:
DFT formation energy: 1034 meV per atom

Cell and atoms, written as CIF:
```
data_Rb2LaReHg
_symmetry_space_group_name_H-M 'P 4/m m m'
_symmetry_Int_Tables_number 123
_symmetry_space_group_name_Hall '-P 4 2'
_cell_length_a 7.146
_cell_length_b 7.146
_cell_length_c 4.846
_cell_angle_alpha 90.00
_cell_angle_beta 90.00
_cell_angle_gamma 90.00
loop_
_atom_site_label
_atom_site_fract_x
_atom_site_fract_y
_atom_site_fract_z
_atom_site_occupancy
Rb1 0.000 0.500 0.000 1
La1 0.000 0.000 0.000 1
Re1 0.000 0.000 0.500 1
Hg1 0.500 0.500 0.500 1
```

Entry 2:
Here is a relaxed RbLaHg2Rh crystal from Alexandria. Energies are from PBE.

Computed properties:
DFT formation energy: -313 meV per atom

Cell and atoms, written as CIF:
```
data_RbLaHg2Rh
_symmetry_space_group_name_H-M 'P 4/m m m'
_symmetry_Int_Tables_number 123
_symmetry_space_group_name_Hall '-P 4 2'
_cell_length_a 5.574
_cell_length_b 5.574
_cell_length_c 5.124
_cell_angle_alpha 90.00
_cell_angle_beta 90.00
_cell_angle_gamma 90.00
loop_
_atom_site_label
_atom_site_fract_x
_atom_site_fract_y
_atom_site_fract_z
_atom_site_occupancy
Rb1 0.000 0.000 0.000 1
La1 0.500 0.500 0.000 1
Hg1 0.000 0.500 0.500 1
Rh1 0.500 0.500 0.500 1
```

Entry 3:
Here is a relaxed RbLaHg2Ru crystal from Alexandria. Energies are from PBE.

Computed properties:
DFT formation energy: -136 meV per atom

Cell and atoms, written as CIF:
```
data_RbLaHg2Ru
_symmetry_space_group_name_H-M 'P 4/m m m'
_symmetry_Int_Tables_number 123
_symmetry_space_group_name_Hall '-P 4 2'
_cell_length_a 5.592
_cell_length_b 5.592
_cell_length_c 5.022
_cell_angle_alpha 90.00
_cell_angle_beta 90.00
_cell_angle_gamma 90.00
loop_
_atom_site_label
_atom_site_fract_x
_atom_site_fract_y
_atom_site_fract_z
_atom_site_occupancy
Rb1 0.000 0.000 0.000 1
La1 0.500 0.500 0.000 1
Hg1 0.000 0.500 0.500 1
Ru1 0.500 0.500 0.500 1
```

Entry 4:
Here is a relaxed RbLa2HgRu crystal from Alexandria. Energies are from PBE.

Computed properties:
DFT formation energy: -66 meV per atom

Cell and atoms, written as CIF:
```
data_RbLa2HgRu
_symmetry_space_group_name_H-M 'P 4/m m m'
_symmetry_Int_Tables_number 123
_symmetry_space_group_name_Hall '-P 4 2'
_cell_length_a 5.442
_cell_length_b 5.442
_cell_length_c 5.741
_cell_angle_alpha 90.00
_cell_angle_beta 90.00
_cell_angle_gamma 90.00
loop_
_atom_site_label
_atom_site_fract_x
_atom_site_fract_y
_atom_site_fract_z
_atom_site_occupancy
Rb1 0.000 0.000 0.000 1
La1 0.000 0.500 0.500 1
Hg1 0.500 0.500 0.000 1
Ru1 0.500 0.500 0.500 1
```

Entry 5:
Here is a relaxed RbLa2HgS crystal from Alexandria. Energies are from PBE.

Computed properties:
Formation energy (no corrections): 156.5 meV/atom

Cell and atoms, written as CIF:
```
data_RbLa2HgS
_symmetry_space_group_name_H-M 'P 4/m m m'
_symmetry_Int_Tables_number 123
_symmetry_space_group_name_Hall '-P 4 2'
_cell_length_a 5.886
_cell_length_b 5.886
_cell_length_c 6.389
_cell_angle_alpha 90.00
_cell_angle_beta 90.00
_cell_angle_gamma 90.00
loop_
_atom_site_label
_atom_site_fract_x
_atom_site_fract_y
_atom_site_fract_z
_atom_site_occupancy
Rb1 0.000 0.000 0.000 1
La1 0.000 0.500 0.500 1
Hg1 0.000 0.000 0.500 1
S1 0.500 0.500 0.000 1
```

Entry 6:
Here is a relaxed RbLa2HgS4 crystal from Alexandria. Energies are from PBE.

Computed properties:
Formation energy (no corrections): -1489.4 meV/atom

Cell and atoms, written as CIF:
```
data_RbLa2HgS4
_symmetry_space_group_name_H-M 'C m c m'
_symmetry_Int_Tables_number 63
_symmetry_space_group_name_Hall '-C 2c 2'
_cell_length_a 4.351
_cell_length_b 14.354
_cell_length_c 14.795
_cell_angle_alpha 90.00
_cell_angle_beta 90.00
_cell_angle_gamma 90.00
loop_
_atom_site_label
_atom_site_fract_x
_atom_site_fract_y
_atom_site_fract_z
_atom_site_occupancy
Rb1 0.000 0.119 0.250 1
La1 0.000 0.373 0.058 1
Hg1 0.000 0.155 0.750 1
S1 0.000 0.000 0.000 1
S2 0.000 0.261 0.602 1
S3 0.000 0.444 0.250 1
```

Number 1: volume 49.493 Å³/atom, DOS(E_F) 4.5 states/eV/f.u., size of the total moment 0.0 μB/f.u.. Number 2: volume 31.839 Å³/atom, DOS(E_F) 2.7 states/eV/f.u., size of the total moment 0.0 μB/f.u.. Number 3: volume 31.405 Å³/atom, DOS(E_F) 3.9 states/eV/f.u., size of the total moment 0.0 μB/f.u.. Number 4: volume 33.999 Å³/atom, DOS(E_F) 3.5 states/eV/f.u., size of the total moment 0.0 μB/f.u.. Number 5: volume 44.274 Å³/atom, DOS(E_F) 5.1 states/eV/f.u., size of the total moment 0.0 μB/f.u.. Number 6: volume 28.872 Å³/atom, DOS(E_F) 3.1 states/eV/f.u., size of the total moment 0.0 μB/f.u..